# FeCuAuF6

A geometry-optimized FeCuAuF6 structure (PBE+U, the Alexandria database).

Cell: 5.3942 5.3942 10.2204 Å, 90.00 90.00 120.00°
Space group P-31c (No. 163)
Unique sites:
Fe (0.3333, 0.6667, 0.2500) [2 per cell]
Cu (0.3333, 0.6667, 0.7500) [2 per cell]
Au (0.0000, 0.0000, 0.0000) [2 per cell]
F (0.0149, 0.3735, 0.1445) [12 per cell]

Results
calculated volume	14.3	Å³/atom
N(E_F)	9.36	states/eV per cell
final energy	-77.5	eV per cell
M_tot	6.03	μB/f.u.